Version a
Crystalline DyReTc at its relaxed geometry. Source: Alexandria via LeMat-Bulk, functional PBE.

Results
Magnetization = 0.0 μB/cell

a b c (Å): 8.7356 5.3966 9.4733
angles (deg): 90.00 90.00 90.00
Last column: nearest neighbours and their distance in Å.
Space group Amm2 (No. 38)
Symmetry-distinct sites (fractional):
Dy (0.1882, 0.0000, 0.0000)  5 Tc 3.12-3.16, 7 Re 3.17-3.20, 4 Dy 3.29-3.34
Dy (0.3123, 0.0000, 0.3331)  7 Tc 3.13-3.19, 5 Re 3.13-3.21, 4 Dy 3.28-3.34
Re (0.0000, 0.2439, 0.2508)  4 Re 2.63-2.76, 2 Tc 2.65-2.80
Re (0.2511, 0.0000, 0.6671)  4 Tc 2.71-2.74, 2 Re 2.71
Tc (0.0000, 0.0000, 0.4942)  6 Re 2.65-2.80
Tc (0.5000, 0.0000, 0.8369)  4 Tc 2.65-2.80, 2 Re 2.71
Tc (0.5000, 0.2414, 0.0808)  4 Tc 2.61-2.80, 2 Re 2.71


Version b
Crystalline DyReTc at its relaxed geometry. Source: Alexandria via LeMat-Bulk, functional PBE.

Results
Magnetization = 0.0 μB/cell

a b c (Å): 8.5524 5.5741 5.1307
angles (deg): 90.00 106.18 90.00
Last column: nearest neighbours and their distance in Å.
Space group C2/m (No. 12)
Symmetry-distinct sites (fractional):
Dy (0.1385, 0.0000, 0.3871)  2 Tc 2.80, 1 Dy 2.91, 2 Re 3.06
Re (0.0102, 0.5000, 0.7491)  2 Re 2.51-2.63, 2 Tc 2.52
Tc (0.2500, 0.2500, 0.0000)  2 Re 2.52, 2 Tc 2.79, 2 Dy 2.80


Relative energy table, unit eV/atom: version a 0.000; version b 0.400


Version a
Crystalline Dy4Rh at its relaxed geometry. Source: Alexandria via LeMat-Bulk, functional PBE.

Results
Magnetization = 0.0 μB/cell

a b c (Å): 10.7384 10.7384 10.7384
angles (deg): 90.00 90.00 90.00
Last column: nearest neighbours and their distance in Å.
Space group Fd-3m (No. 227, origin choice 2)
Symmetry-distinct sites (fractional):
Dy (0.0139, 0.0139, 0.2361)  1 Rh 2.58
Rh (0.1250, 0.1250, 0.6250)  4 Dy 2.58


Version b
Crystalline Dy4Rh at its relaxed geometry. Source: Alexandria via LeMat-Bulk, functional PBE.

Results
Magnetization = 1.5 μB/cell

a b c (Å): 8.5747 8.5747 7.9694
angles (deg): 90.00 90.00 90.00
Last column: nearest neighbours and their distance in Å.
Space group I-42d (No. 122)
Symmetry-distinct sites (fractional):
Dy (0.0255, 0.6994, 0.4142)  1 Rh 2.68
Rh (0.0000, 0.0000, 0.5000)  4 Dy 2.68


Relative energy table, unit eV/atom: version a 0.431; version b 0.000


Version a
Crystalline Dy3Rh2 at its relaxed geometry. Source: Alexandria via LeMat-Bulk, functional PBE.

Results
Magnetization = 0.0 μB/cell

a b c (Å): 17.1493 4.2496 10.4122
angles (deg): 90.00 96.92 90.00
Last column: nearest neighbours and their distance in Å.
Space group C2/m (No. 12)
Symmetry-distinct sites (fractional):
Dy (0.0000, 0.0000, 0.0000)  4 Rh 2.86
Dy (0.0366, 0.0000, 0.6617)  3 Rh 2.76-2.83
Dy (0.1251, 0.5000, 0.2838)  5 Rh 2.74-2.85
Dy (0.1731, 0.5000, 0.9592)  4 Rh 2.69-2.86
Dy (0.2071, 0.5000, 0.6216)  4 Rh 2.83-2.98
Rh (0.0282, 0.5000, 0.8280)  6 Dy 2.69-2.86
Rh (0.1387, 0.0000, 0.4673)  7 Dy 2.83-3.14
Rh (0.1781, 0.0000, 0.1391)  6 Dy 2.82-2.98


Version b
Crystalline Dy3Rh2 at its relaxed geometry. Source: Alexandria via LeMat-Bulk, functional PBE.

Results
Magnetization = 0.0 μB/cell

a b c (Å): 6.7886 6.7886 19.1976
angles (deg): 90.00 90.00 120.00
Last column: nearest neighbours and their distance in Å.
Space group R-3c (No. 167, hexagonal axes)
Symmetry-distinct sites (fractional):
Dy (0.0000, 0.3468, 0.2500)  4 Rh 2.79-2.80
Rh (0.0000, 0.0000, 0.1721)  6 Dy 2.79-2.80, 1 Rh 2.99


Version c
Crystalline Dy3Rh2 at its relaxed geometry. Source: Alexandria via LeMat-Bulk, functional PBE.

Results
Magnetization = 0.0 μB/cell

a b c (Å): 11.2331 11.2331 25.2449
angles (deg): 90.00 90.00 90.00
Last column: nearest neighbours and their distance in Å.
Space group I4/mcm (No. 140)
Symmetry-distinct sites (fractional):
Dy (0.0000, 0.5000, 0.1127)  4 Rh 2.85-3.09
Dy (0.0000, 0.5000, 0.2500)  4 Rh 2.89
Dy (0.0752, 0.2038, 0.0714)  4 Rh 2.87-3.03
Dy (0.0795, 0.2104, 0.3066)  5 Rh 2.76-3.08
Dy (0.1497, 0.3503, 0.5000)  4 Rh 2.73-2.85
Rh (0.0000, 0.0000, 0.0000)  8 Dy 3.03, 2 Rh 3.35
Rh (0.0000, 0.0000, 0.1328)  8 Dy 2.89-2.95, 1 Rh 2.96
Rh (0.0000, 0.0000, 0.2500)  8 Dy 2.90, 2 Rh 2.96
Rh (0.0984, 0.4016, 0.0000)  6 Dy 2.85-2.87, 1 Rh 3.13
Rh (0.1529, 0.3471, 0.1883)  6 Dy 2.89-3.09
Rh (0.1790, 0.3210, 0.3935)  6 Dy 2.73-2.91


Relative energy table, unit eV/atom: version a 0.087; version b 0.093; version c 0.000


Version a
Crystalline Dy5Rh3 at its relaxed geometry. Source: Alexandria via LeMat-Bulk, functional PBE.

Results
Magnetization = 0.0 μB/cell

a b c (Å): 8.2433 8.2433 6.3153
angles (deg): 90.00 90.00 120.00
Last column: nearest neighbours and their distance in Å.
Space group P6_3/mcm (No. 193)
Symmetry-distinct sites (fractional):
Dy (0.0000, 0.2497, 0.2500)  3 Rh 2.87-2.91
Dy (0.3333, 0.6667, 0.0000)  6 Rh 2.98, 2 Dy 3.16
Rh (0.0000, 0.3970, 0.7500)  7 Dy 2.87-2.98


Version b
Crystalline Dy5Rh3 at its relaxed geometry. Source: Alexandria via LeMat-Bulk, functional PBE.

Results
Magnetization = 0.0 μB/cell

a b c (Å): 10.8982 10.8982 6.3445
angles (deg): 90.00 90.00 90.00
Last column: nearest neighbours and their distance in Å.
Space group P4/ncc (No. 130, origin choice 2)
Symmetry-distinct sites (fractional):
Dy (0.0412, 0.1611, 0.1206)  5 Rh 2.87-3.15
Dy (0.2500, 0.7500, 0.0000)  4 Rh 2.86, 2 Dy 3.17
Rh (0.0957, 0.5957, 0.7500)  8 Dy 2.86-3.15
Rh (0.2500, 0.2500, 0.3755)  8 Dy 2.92-2.96, 2 Rh 3.17


Relative energy table, unit eV/atom: version a 0.030; version b 0.000


Version a
Crystalline Dy3RuRh at its relaxed geometry. Source: Alexandria via LeMat-Bulk, functional PBE.

Results
Magnetization = 0.0 μB/cell

a b c (Å): 6.7832 6.7844 7.4417
angles (deg): 62.90 62.95 60.10
Last column: nearest neighbours and their distance in Å.
Space group P-1 (No. 2)
Symmetry-distinct sites (fractional):
Dy (0.0964, 0.4037, 0.2464)  2 Ru 2.77, 2 Rh 2.80
Dy (0.2467, 0.9035, 0.7526)  2 Ru 2.76-2.77, 2 Rh 2.80
Dy (0.4033, 0.7543, 0.2461)  2 Ru 2.76-2.77, 2 Rh 2.80
Ru (0.1716, 0.1718, 0.9837)  6 Dy 2.76-2.77, 1 Rh 2.98
Rh (0.3288, 0.3291, 0.5134)  6 Dy 2.80, 1 Ru 2.98


Version b
Crystalline Dy3RuRh at its relaxed geometry. Source: Alexandria via LeMat-Bulk, functional PBE.

Results
Magnetization = 0.0 μB/cell

a b c (Å): 8.4617 7.3712 7.7904
angles (deg): 90.00 106.03 90.00
Last column: nearest neighbours and their distance in Å.
Space group P2_1/c (No. 14)
Symmetry-distinct sites (fractional):
Dy (0.0484, 0.0009, 0.2142)  3 Ru 2.75-2.83, 1 Rh 3.00
Dy (0.2819, 0.6514, 0.0998)  3 Rh 2.78-2.99, 2 Ru 2.94-2.98
Dy (0.3592, 0.1923, 0.9682)  1 Ru 2.73, 3 Rh 2.99-3.01
Ru (0.0821, 0.1815, 0.5429)  6 Dy 2.73-2.98, 1 Ru 3.00
Rh (0.4140, 0.5425, 0.7959)  7 Dy 2.78-3.01


Relative energy table, unit eV/atom: version a 0.068; version b 0.000


Version a
Crystalline Dy6Ru2Rh at its relaxed geometry. Source: Alexandria via LeMat-Bulk, functional PBE.

Results
Magnetization = 0.0 μB/cell

a b c (Å): 6.6075 7.2649 11.3716
angles (deg): 90.00 123.23 90.00
Last column: nearest neighbours and their distance in Å.
Space group P2_1/c (No. 14)
Symmetry-distinct sites (fractional):
Dy (0.0741, 0.0395, 0.2392)  2 Ru 2.74-2.76, 1 Rh 2.77
Dy (0.2243, 0.6693, 0.0737)  1 Rh 2.68, 1 Ru 2.91
Dy (0.3959, 0.1701, 0.0734)  1 Rh 2.75, 3 Ru 2.79-3.06
Ru (0.3160, 0.1347, 0.7831)  7 Dy 2.74-3.06
Rh (0.5000, 0.0000, 0.5000)  6 Dy 2.68-2.77


Version b
Crystalline Dy6Ru2Rh at its relaxed geometry. Source: Alexandria via LeMat-Bulk, functional PBE.

Results
Magnetization = 0.0 μB/cell

a b c (Å): 4.8056 13.0449 14.4196
angles (deg): 90.00 90.00 90.00
Last column: nearest neighbours and their distance in Å.
Space group Fmmm (No. 69)
Symmetry-distinct sites (fractional):
Dy (0.0000, 0.1278, 0.0000)  2 Ru 2.92, 2 Rh 2.92
Dy (0.0000, 0.1277, 0.3320)  3 Ru 2.92, 1 Rh 2.94
Ru (0.0000, 0.0000, 0.1661)  8 Dy 2.92
Rh (0.0000, 0.0000, 0.5000)  8 Dy 2.92-2.94


Relative energy table, unit eV/atom: version a 0.010; version b 0.000


Version a
Crystalline Dy8Ru2Rh at its relaxed geometry. Source: Alexandria via LeMat-Bulk, functional PBE.

Results
Magnetization = 0.0 μB/cell

a b c (Å): 17.4154 4.8485 6.8422
angles (deg): 90.00 106.98 90.00
Last column: nearest neighbours and their distance in Å.
Space group C2/m (No. 12)
Symmetry-distinct sites (fractional):
Dy (0.0316, 0.0000, 0.2896)  1 Ru 2.91, 2 Rh 2.95
Dy (0.0961, 0.5000, 0.9562)  1 Rh 3.08, 2 Ru 3.10, 6 Dy 3.35-3.39
Dy (0.1687, 0.5000, 0.4664)  3 Ru 2.87-3.09, 1 Rh 3.01
Dy (0.2043, 0.0000, 0.8152)  1 Ru 2.76
Ru (0.1856, 0.0000, 0.2022)  5 Dy 2.76-3.09
Rh (0.0000, 0.5000, 0.5000)  8 Dy 2.95-3.08


Version b
Crystalline Dy8Ru2Rh at its relaxed geometry. Source: Alexandria via LeMat-Bulk, functional PBE.

Results
Magnetization = 0.0 μB/cell

a b c (Å): 8.2708 12.6225 5.8946
angles (deg): 90.00 109.82 90.00
Last column: nearest neighbours and their distance in Å.
Space group Cm (No. 8)
Symmetry-distinct sites (fractional):
Dy (0.0000, 0.0000, 0.0000)  1 Rh 2.88, 2 Ru 3.02
Dy (0.0699, 0.3703, 0.7933)  2 Ru 2.77-2.80
Dy (0.1523, 0.1297, 0.5974)  2 Ru 2.77-2.78
Dy (0.2225, 0.5000, 0.3788)  1 Rh 2.91, 2 Ru 3.00
Dy (0.3641, 0.2126, 0.1918)  1 Rh 2.77
Ru (0.3575, 0.3091, 0.6876)  6 Dy 2.77-3.02
Rh (0.3625, 0.0000, 0.0767)  4 Dy 2.77-2.91


Relative energy table, unit eV/atom: version a 0.000; version b 0.042


Version a
Crystalline SmDyRuRh at its relaxed geometry. Source: Alexandria via LeMat-Bulk, functional PBE.

Results
Magnetization = 0.0 μB/cell

a b c (Å): 3.4485 3.4485 6.8800
angles (deg): 90.00 90.00 90.00
Last column: nearest neighbours and their distance in Å.
Space group P4mm (No. 99)
Symmetry-distinct sites (fractional):
Sm (0.0000, 0.0000, 0.0000)  4 Ru 2.99, 4 Rh 3.03
Dy (0.0000, 0.0000, 0.4924)  4 Ru 2.95, 4 Rh 2.97
Ru (0.5000, 0.5000, 0.2511)  4 Dy 2.95, 4 Sm 2.99
Rh (0.5000, 0.5000, 0.7395)  4 Dy 2.97, 4 Sm 3.03


Version b
Crystalline SmDyRuRh at its relaxed geometry. Source: Alexandria via LeMat-Bulk, functional PBE.

Results
Magnetization = 0.0 μB/cell

a b c (Å): 6.8982 6.8982 6.8982
angles (deg): 90.00 90.00 90.00
Last column: nearest neighbours and their distance in Å.
Space group F-43m (No. 216)
Symmetry-distinct sites (fractional):
Sm (0.0000, 0.0000, 0.0000)  4 Ru 2.99, 4 Rh 2.99
Dy (0.0000, 0.0000, 0.5000)  4 Rh 2.99, 4 Ru 2.99
Ru (0.2500, 0.2500, 0.2500)  4 Dy 2.99, 4 Sm 2.99
Rh (0.2500, 0.2500, 0.7500)  4 Dy 2.99, 4 Sm 2.99


Relative energy table, unit eV/atom: version a 0.000; version b 0.017